Run 1
{
  "formula": "VGa2Ag",
  "functional": "GGA-PBE",
  "state": "optimized geometry",
  "spacegroup": "P4/mmm",
  "vol_a3_per_cell": 62,
  "cell": [[3.720, 0.000, 0.000], [0.000, 4.071, 0.000], [0.000, 0.000, 4.071]],
  "species": ["Ag", "Ga", "V", "Ga"],
  "frac_coords": [[0.500, 0.000, 0.000], [0.000, 0.000, 0.500], [0.500, 0.500, 0.500], [0.000, 0.500, 0.000]]
}

Run 2
{
  "formula": "VGa2Ag",
  "functional": "GGA-PBE",
  "state": "optimized geometry",
  "spacegroup": "Fm-3m",
  "vol_a3_per_cell": 64,
  "cell": [[0.000, 3.182, 3.182], [3.182, 0.000, 3.182], [3.182, 3.182, 0.000]],
  "species": ["Ga", "Ga", "V", "Ag"],
  "frac_coords": [[0.250, 0.250, 0.250], [0.750, 0.750, 0.750], [0.000, 0.000, 0.000], [0.500, 0.500, 0.500]]
}

Ranked by calculated energy, most stable first: run 1, run 2.